{"formula": "InOsW2", "functional": "GGA-PBE", "state": "relaxed", "lattice_angstrom": [[5.1836, -0.0026, 0.0000], [2.2864, 4.6521, 0.0000], [-3.7350, -2.3247, 2.7414]], "species": ["In", "Os", "W", "W"], "frac_coords": [[0.2500, 0.7500, 0.5000], [0.7500, 0.2500, 0.5000], [0.0000, 0.0000, 0.0000], [0.5000, 0.5000, 0.0000]], "crystal_system": "tetragonal", "dft_energy_ev_per_atom": -9.4681, "n_ef_per_ev_fu": 3.87, "delta_e_f_ev_per_fu": 2.002, "magnetic_moment_mub_per_fu": 0.00}